This record from Alexandria describes a relaxed CdNi3N crystal. The functional is PBE.

abc: 4.2964 4.2964 7.4683
angles: 90.00 90.00 120.00
Closest atoms and distances in Å follow each position.
Space group P6_3/mmc (No. 194)
Unique sites:
Cd 0.3333 0.6667 0.2500 (multiplicity 2)  11 Ni 2.48-2.76
Ni 0.0000 0.0000 0.2500 (multiplicity 2)  2 N 1.87
Ni 0.3333 0.6667 0.5867 (multiplicity 4)  1 Ni 2.44, 1 Cd 2.51, 3 N 2.56
N 0.0000 0.0000 0.0000 (multiplicity 2)  2 Ni 1.87

Properties
- E above lowest polymorph: 314 kJ/mol of formula units
- Electronic total energy: -4.731 eV/atom
- Raw formation energy: 586 meV/atom

=====

This record from Alexandria describes a relaxed GaSiIN2 crystal. The functional is PBE.

abc: 3.7087 3.7087 6.1854
angles: 90.00 90.00 90.00
Closest atoms and distances in Å follow each position.
Space group P4/mmm (No. 123)
Unique sites:
Ga 0.0000 0.0000 0.0000 (multiplicity 1)  4 I 2.62
Si 0.5000 0.5000 0.5000 (multiplicity 1)  4 N 1.85
I 0.5000 0.5000 0.0000 (multiplicity 1)  4 Ga 2.62
N 0.0000 0.5000 0.5000 (multiplicity 2)  2 Si 1.85

Properties
- E above lowest polymorph: 0 kJ/mol of formula units
- Electronic total energy: -4.493 eV/atom
- Raw formation energy: 837 meV/atom

=====

- Which of these has the lowest E above lowest polymorph?
  GaSiIN2

=====

- The highest electronic total energy belongs to which entry?
  GaSiIN2

=====

- Look up the raw formation energy of the first one.
  586 meV/atom

=====

- What is the electronic total energy in the second record?
  -4.493 eV/atom